Entry 1:
VASP calculation (PBE) on a relaxed La6Pm8Th crystal.

a b c (Å): 8.903 8.903 8.903
angles (deg): 63.19 63.19 63.19
Fractional positions:
La  0.906  0.462  0.764
La  0.236  0.094  0.538
La  0.538  0.236  0.094
La  0.462  0.764  0.906
La  0.764  0.906  0.462
La  0.094  0.538  0.236
Pm  0.115  0.707  0.765
Pm  0.235  0.885  0.293
Pm  0.293  0.235  0.885
Pm  0.577  0.577  0.577
Pm  0.423  0.423  0.423
Pm  0.707  0.765  0.115
Pm  0.765  0.115  0.707
Pm  0.885  0.293  0.235
Th  0.000  0.000  0.000

Results
VASP energy = -4.90 eV per atom
Size of the total moment = 0.000 μB/cell


Entry 2:
VASP calculation (PBE) on a relaxed DyYHo6Tm2 crystal.

a b c (Å): 9.466 8.720 8.720
angles (deg): 118.05 93.70 93.70
Fractional positions:
Dy  0.250  0.409  0.591
Dy  0.750  0.591  0.409
Y  0.250  0.976  0.024
Y  0.750  0.024  0.976
Ho  0.056  0.125  0.752
Ho  0.444  0.248  0.875
Ho  0.944  0.875  0.248
Ho  0.556  0.752  0.125
Ho  0.316  0.979  0.431
Ho  0.184  0.569  0.021
Ho  0.684  0.021  0.569
Ho  0.816  0.431  0.979
Ho  0.120  0.710  0.497
Ho  0.380  0.503  0.290
Ho  0.880  0.290  0.503
Ho  0.620  0.497  0.710
Tm  0.456  0.804  0.695
Tm  0.044  0.305  0.196
Tm  0.544  0.196  0.305
Tm  0.956  0.695  0.804

Results
VASP energy = -4.63 eV per atom
Size of the total moment = 0.000 μB/cell


Entry 3:
VASP calculation (PBE) on a relaxed SrZrW crystal.

a b c (Å): 6.617 6.618 6.618
angles (deg): 148.50 148.50 45.15
Fractional positions:
Sr  0.990  0.990  0.000
W  0.300  0.300  0.000
Zr  0.710  0.710  0.000

Results
Size of the total moment = 0.000 μB/cell
Offset from the most stable computed form = 0 meV/atom


Entry 4:
VASP calculation (PBE) on a relaxed Tl2FeAs crystal.

a b c (Å): 8.915 8.915 8.915
angles (deg): 22.50 22.50 22.50
Fractional positions:
As  0.477  0.477  0.477
Fe  0.762  0.762  0.762
Tl  0.017  0.017  0.017
Tl  0.244  0.244  0.244

Results
Size of the total moment = 1.785 μB/cell
Offset from the most stable computed form = 43 meV/atom